12
Lattice="3.7634 0.0000 0.0000 0.0000 3.7634 0.0000 -1.8817 -1.8817 11.2547" Properties=species:S:1:pos:R:3 comment="Cu2Pt | Alexandria | PBE | relaxed" magnetic_moment_mub_per_fu=0.00 polymorph_energy_mev_per_atom=0.0 volume_a3_per_atom=13.28 spacegroup="I4_1/amd, No. 141" formation_energy_mev_per_atom=-145.6 pbc="T T T"
Cu 0.0000 0.0000 5.6373
Cu 1.8817 1.8817 5.6173
Cu 1.8817 0.0000 0.0100
Cu 1.8817 0.0000 11.2446
Cu 0.0000 0.0000 9.4067
Cu 1.8817 1.8817 1.8479
Cu 1.8817 0.0000 3.7794
Cu 1.8817 0.0000 7.4752
Pt 0.0000 0.0000 1.8170
Pt 1.8817 1.8817 9.4377
Pt 0.0000 1.8817 7.4443
Pt 0.0000 1.8817 3.8103

5
Lattice="5.8021 0.0000 0.0000 0.0000 5.8021 0.0000 0.0000 0.0000 6.1126" Properties=species:S:1:pos:R:3 comment="InSb2TePb | Alexandria | PBE | relaxed" magnetic_moment_mub_per_fu=0.00 polymorph_energy_mev_per_atom=0.0 volume_a3_per_atom=41.15 spacegroup="P4/mmm, No. 123" pbc="T T T"
Pb 2.9010 2.9010 3.0563
Sb 0.0000 2.9010 0.0000
Sb 2.9010 0.0000 0.0000
Te 0.0000 0.0000 3.0563
In 0.0000 0.0000 0.0000